Entry 1:
# PBE-GGA Ce2ErSi3Pt4, optimized geometry
data_Ce2ErSi3Pt4
_chemical_formula_sum 'Ce2 Er1 Si3 Pt4'
_cell_length_a 4.227
_cell_length_b 4.227
_cell_length_c 10.910
_cell_angle_alpha 90.00
_cell_angle_beta 90.00
_cell_angle_gamma 90.00
_space_group_name_H-M_alt 'P 1'
_space_group_IT_number 1
loop_
_space_group_symop_operation_xyz
'x,y,z'
loop_
_atom_site_label
_atom_site_type_symbol
_atom_site_fract_x
_atom_site_fract_y
_atom_site_fract_z
Ce1 Ce 0.000 0.500 0.229
Ce2 Ce 0.500 0.000 0.771
Er1 Er 0.000 0.000 0.500
Si1 Si 0.000 0.500 0.880
Si2 Si 0.500 0.000 0.120
Si3 Si 0.500 0.500 0.500
Pt1 Pt 0.000 0.000 0.000
Pt2 Pt 0.000 0.500 0.660
Pt3 Pt 0.500 0.000 0.340
Pt4 Pt 0.500 0.500 0.000
# magnetization: 1.0 μB/cell
# DOS at the Fermi energy: 1.37 states/eV/atom


Entry 2:
# PBE-GGA AlGa3Ag4, optimized geometry
data_AlGa3Ag4
_chemical_formula_sum 'Al2 Ga6 Ag8'
_cell_length_a 18.385
_cell_length_b 4.975
_cell_length_c 3.137
_cell_angle_alpha 90.00
_cell_angle_beta 97.97
_cell_angle_gamma 90.00
_space_group_name_H-M_alt 'P 1'
_space_group_IT_number 1
loop_
_space_group_symop_operation_xyz
'x,y,z'
loop_
_atom_site_label
_atom_site_type_symbol
_atom_site_fract_x
_atom_site_fract_y
_atom_site_fract_z
Al1 Al 0.000 0.000 0.000
Al2 Al 0.500 0.500 0.000
Ga1 Ga 0.000 0.500 0.500
Ga2 Ga 0.249 0.000 0.248
Ga3 Ga 0.251 0.500 0.752
Ga4 Ga 0.500 0.000 0.500
Ga5 Ga 0.749 0.500 0.248
Ga6 Ga 0.751 0.000 0.752
Ag1 Ag 0.121 0.000 0.614
Ag2 Ag 0.125 0.500 0.119
Ag3 Ag 0.375 0.000 0.881
Ag4 Ag 0.379 0.500 0.386
Ag5 Ag 0.621 0.500 0.614
Ag6 Ag 0.625 0.000 0.119
Ag7 Ag 0.875 0.500 0.881
Ag8 Ag 0.879 0.000 0.386
# energy above the most stable polymorph in this dataset: 0.022 eV/atom
# magnetization: 0.0 μB/cell
# DOS at the Fermi energy: 0.21 states/eV/atom


Entry 3:
# PBE-GGA SmGaI4, optimized geometry
data_SmGaI4
_chemical_formula_sum 'Sm2 Ga2 I8'
_cell_length_a 17.099
_cell_length_b 4.548
_cell_length_c 8.198
_cell_angle_alpha 90.00
_cell_angle_beta 118.50
_cell_angle_gamma 90.00
_space_group_name_H-M_alt 'P 1'
_space_group_IT_number 1
loop_
_space_group_symop_operation_xyz
'x,y,z'
loop_
_atom_site_label
_atom_site_type_symbol
_atom_site_fract_x
_atom_site_fract_y
_atom_site_fract_z
Sm1 Sm 0.000 0.000 0.000
Sm2 Sm 0.500 0.500 0.000
Ga1 Ga 0.000 0.500 0.500
Ga2 Ga 0.500 0.000 0.500
I1 I 0.115 0.000 0.810
I2 I 0.118 0.500 0.271
I3 I 0.382 0.000 0.729
I4 I 0.385 0.500 0.190
I5 I 0.615 0.500 0.810
I6 I 0.618 0.000 0.271
I7 I 0.882 0.500 0.729
I8 I 0.885 0.000 0.190
# energy above the most stable polymorph in this dataset: 0.000 eV/atom
# magnetization: 0.0 μB/cell
# DOS at the Fermi energy: 0.00 states/eV/atom


Entry 4:
# PBE-GGA BSb2PSe, optimized geometry
data_BSb2PSe
_chemical_formula_sum 'B1 Sb2 P1 Se1'
_cell_length_a 5.216
_cell_length_b 5.216
_cell_length_c 4.743
_cell_angle_alpha 90.00
_cell_angle_beta 90.00
_cell_angle_gamma 90.00
_space_group_name_H-M_alt 'P 1'
_space_group_IT_number 1
loop_
_space_group_symop_operation_xyz
'x,y,z'
loop_
_atom_site_label
_atom_site_type_symbol
_atom_site_fract_x
_atom_site_fract_y
_atom_site_fract_z
B1 B 0.000 0.000 0.000
Sb1 Sb 0.000 0.500 0.500
Sb2 Sb 0.500 0.000 0.500
P1 P 0.500 0.500 0.500
Se1 Se 0.500 0.500 0.000
# magnetization: 0.0 μB/cell
# DOS at the Fermi energy: 0.77 states/eV/atom


Entry 5:
# PBE-GGA PrMg2GeN, optimized geometry
data_PrMg2GeN
_chemical_formula_sum 'Pr2 Mg4 Ge2 N2'
_cell_length_a 6.569
_cell_length_b 6.569
_cell_length_c 7.758
_cell_angle_alpha 90.00
_cell_angle_beta 90.00
_cell_angle_gamma 145.73
_space_group_name_H-M_alt 'P 1'
_space_group_IT_number 1
loop_
_space_group_symop_operation_xyz
'x,y,z'
loop_
_atom_site_label
_atom_site_type_symbol
_atom_site_fract_x
_atom_site_fract_y
_atom_site_fract_z
Pr1 Pr 0.034 0.966 0.750
Pr2 Pr 0.966 0.034 0.250
Mg1 Mg 0.341 0.659 0.553
Mg2 Mg 0.341 0.659 0.947
Mg3 Mg 0.659 0.341 0.053
Mg4 Mg 0.659 0.341 0.447
Ge1 Ge 0.240 0.760 0.250
Ge2 Ge 0.760 0.240 0.750
N1 N 0.500 0.500 0.000
N2 N 0.500 0.500 0.500
# magnetization: 0.0 μB/cell
# DOS at the Fermi energy: 0.20 states/eV/atom


Entry 6:
# PBE-GGA InRh2Br, optimized geometry
data_InRh2Br
_chemical_formula_sum 'In2 Rh4 Br2'
_cell_length_a 3.156
_cell_length_b 4.287
_cell_length_c 11.947
_cell_angle_alpha 90.00
_cell_angle_beta 90.00
_cell_angle_gamma 90.00
_space_group_name_H-M_alt 'P 1'
_space_group_IT_number 1
loop_
_space_group_symop_operation_xyz
'x,y,z'
loop_
_atom_site_label
_atom_site_type_symbol
_atom_site_fract_x
_atom_site_fract_y
_atom_site_fract_z
In1 In 0.000 0.000 0.000
In2 In 0.500 0.500 0.500
Rh1 Rh 0.000 0.000 0.558
Rh2 Rh 0.000 0.500 0.872
Rh3 Rh 0.500 0.000 0.372
Rh4 Rh 0.500 0.500 0.058
Br1 Br 0.000 0.500 0.235
Br2 Br 0.500 0.000 0.735
# energy above the most stable polymorph in this dataset: 0.128 eV/atom
# magnetization: 0.0 μB/cell
# DOS at the Fermi energy: 0.76 states/eV/atom


Energy readings, ordered: -6.728; -3.006; -3.374; -3.398; -4.810; -4.640 eV per atom